# Cs3OsF | the Alexandria database | GGA-PBE | relaxed
data_Cs3OsF
_chemical_formula_sum 'Cs3 Os1 F1'
_symmetry_space_group_name_H-M 'P m -3 m'
_symmetry_Int_Tables_number 221
_symmetry_space_group_name_Hall '-P 4 2 3'
_cell_length_a 5.943
_cell_length_b 5.943
_cell_length_c 5.943
_cell_angle_alpha 90.00
_cell_angle_beta 90.00
_cell_angle_gamma 90.00
loop_
_atom_site_label
_atom_site_type_symbol
_atom_site_fract_x
_atom_site_fract_y
_atom_site_fract_z
Cs1 Cs 0.000 0.000 0.500
Os1 Os 0.000 0.000 0.000
F1 F 0.500 0.500 0.500
# calculated volume = 210 Å³ per cell
# final energy = -2.890 eV per atom
# density of states at the Fermi level = 1.920 states/eV per cell
# E_form (uncorrected) = 0.2420 eV per atom

***

# PmTlIr4 | the Alexandria database | GGA-PBE | relaxed
data_PmTlIr4
_chemical_formula_sum 'Pm4 Tl4 Ir16'
_symmetry_space_group_name_H-M 'F -4 3 m'
_symmetry_Int_Tables_number 216
_symmetry_space_group_name_Hall 'F -4 2 3'
_cell_length_a 7.616
_cell_length_b 7.616
_cell_length_c 7.616
_cell_angle_alpha 90.00
_cell_angle_beta 90.00
_cell_angle_gamma 90.00
loop_
_atom_site_label
_atom_site_type_symbol
_atom_site_fract_x
_atom_site_fract_y
_atom_site_fract_z
Pm1 Pm 0.000 0.000 0.000
Tl1 Tl 0.250 0.250 0.750
Ir1 Ir 0.125 0.125 0.375
# calculated volume = 442 Å³ per cell
# energy relative to the elements = -204 meV/atom
# final energy = -7.297 eV per atom
# density of states at the Fermi level = 38.020 states/eV per cell